[1]
A plane-wave DFT calculation with PBE was carried out for a geometry-optimized Tb2Pr2I7 structure.

a = 8.167 Å, b = 8.167 Å, c = 8.246 Å
α = 91.15°, β = 91.15°, γ = 111.08°
Atoms (fractional coordinates):
Tb1 0.202 0.202 0.338
Tb2 0.798 0.798 0.662
Pr1 0.137 0.863 0.000
Pr2 0.863 0.137 0.000
I1 0.091 0.490 0.218
I2 0.130 0.130 0.714
I3 0.490 0.091 0.218
I4 0.500 0.500 0.500
I5 0.510 0.909 0.782
I6 0.870 0.870 0.286
I7 0.909 0.510 0.782

As for the formation energy from raw total energies: -11.0 eV/f.u. Its total magnetic moment is 0.71 μB per cell. Its space group is C2/m (12). The total energy comes out at -40.64 eV for the cell shown.

***

[2]
A plane-wave DFT calculation with PBE was carried out for a geometry-optimized BaTi2Pd structure.

a = 10.173 Å, b = 10.173 Å, c = 10.173 Å
α = 152.39°, β = 152.39°, γ = 39.45°
Atoms (fractional coordinates):
Ba1 0.375 0.625 0.750
Ba2 0.625 0.375 0.250
Ti1 0.000 0.000 0.000
Ti2 0.000 0.000 0.500
Ti3 0.000 0.500 0.000
Ti4 0.500 0.000 0.500
Pd1 0.125 0.875 0.250
Pd2 0.875 0.125 0.750

For the polymorph energy (0 for the lowest one), the calculation gives 34 meV/atom. Its total magnetic moment is 0.00 μB per cell. Its space group is I4_1/amd (141). Its formation energy is 2.03 eV per formula unit. The total energy comes out at -41.75 eV for the cell shown.